No. 1
A plane-wave DFT calculation with GGA-PBE was carried out for an optimized crystal structure of TmZrIrRu.

**E**: -8.530 eV/atom
**ρ**: 12.5 g cm⁻³
**Total magnetic moment**: 0.0 μB/f.u.
**Formation enthalpy at 0 K**: -0.741 eV/atom
**SG**: F-43m

Unit cell a=4.7046 b=4.7046 c=4.7046 alpha=60.00 beta=60.00 gamma=60.00
Atoms (fractional coordinates):
Ru 0.2500 0.2500 0.2500
Ir 0.7500 0.7500 0.7500
Tm 0.0000 0.0000 0.0000
Zr 0.5000 0.5000 0.5000

---

No. 2
A plane-wave DFT calculation with GGA-PBE was carried out for an optimized crystal structure of SrCdPt2.

**E**: -4.133 eV/atom
**ρ**: 10.7 g cm⁻³
**Total magnetic moment**: 0.0 μB/f.u.
**Formation enthalpy at 0 K**: -0.464 eV/atom
**SG**: Amm2

Unit cell a=4.3255 b=4.0535 c=5.6251 alpha=68.89 beta=90.00 gamma=90.00
Atoms (fractional coordinates):
Cd 0.5000 0.7707 0.8330
Pt 0.5000 0.0521 0.2705
Pt 0.0000 0.2004 0.9757
Sr 0.0000 0.4769 0.4208

---

No. 3
A plane-wave DFT calculation with GGA-PBE was carried out for an optimized crystal structure of Sr4Ac3LaTe8.

**E**: -4.673 eV/atom
**ΔE_f (raw)**: -1.604 eV/atom
**ρ**: 6.1 g cm⁻³
**Total magnetic moment**: 0.0 μB/f.u.
**SG**: R-3m

Unit cell a=9.3624 b=9.4887 c=9.3622 alpha=119.56 beta=120.00 gamma=90.00
Atoms (fractional coordinates):
Sr 0.0000 0.0000 0.0000
Sr 0.5000 0.0000 0.5000
Sr 0.0000 0.0000 0.5000
Sr 0.5000 0.0000 0.0000
Te 0.7515 0.7544 0.5029
Te 0.2485 0.2456 0.4971
Te 0.7548 0.7509 0.0029
Te 0.7519 0.2490 0.5037
Te 0.2481 0.7509 0.0029
Te 0.2481 0.7510 0.4963
Te 0.2452 0.2491 0.9971
Te 0.7519 0.2491 0.9971
Ac 0.5000 0.5000 0.5000
Ac 0.0000 0.5000 0.5000
Ac 0.5000 0.5000 0.0000
La 0.0000 0.5000 0.0000

---

No. 4
A plane-wave DFT calculation with GGA-PBE was carried out for an optimized crystal structure of BaTlIO2.

**E**: -3.906 eV/atom
**ΔE_f (raw)**: -0.755 eV/atom
**ρ**: 4.6 g cm⁻³
**Total magnetic moment**: 2.0 μB/f.u.
**SG**: P4/mmm
**ΔE to the lowest computed polymorph**: 15 meV/atom

Unit cell a=5.0049 b=5.0049 c=7.2763 alpha=90.00 beta=90.00 gamma=90.00
Each line ends with the local moment (μB).
Atoms (fractional coordinates):
Ba 0.0000 0.0000 0.0000  0.05
O 0.0000 0.5000 0.0000  0.79
O 0.5000 0.0000 0.0000  0.79
I 0.0000 0.0000 0.5000  0.00
Tl 0.5000 0.5000 0.5000  0.00

---

No. 5
A plane-wave DFT calculation with GGA-PBE was carried out for an optimized crystal structure of TiMn2PtN.

**E**: -8.801 eV/atom
**ΔE_f (raw)**: -0.681 eV/atom
**ρ**: 9.7 g cm⁻³
**Total magnetic moment**: 5.6 μB/f.u.
**SG**: P4/mmm

Unit cell a=3.9305 b=3.9305 c=4.0751 alpha=90.00 beta=90.00 gamma=90.00
Each line ends with the local moment (μB).
Atoms (fractional coordinates):
N 0.0000 0.0000 0.0000  0.01
Mn 0.5000 0.0000 0.0000  2.89
Mn 0.0000 0.5000 0.0000  2.89
Pt 0.5000 0.5000 0.5000  0.11
Ti 0.0000 0.0000 0.5000  -0.35

---

No. 6
A plane-wave DFT calculation with GGA-PBE was carried out for an optimized crystal structure of ScAs2Se.

**E**: -5.333 eV/atom
**ΔE_f (raw)**: -0.554 eV/atom
**ρ**: 5.2 g cm⁻³
**Total magnetic moment**: 0.0 μB/f.u.
**SG**: I4/mmm

Unit cell a=4.8441 b=4.8441 c=4.8459 alpha=70.30 beta=70.30 gamma=109.05
Atoms (fractional coordinates):
As 0.0000 0.0000 0.0000
As 0.5000 0.5000 0.0000
Sc 0.5000 0.0000 0.5000
Se 0.0000 0.5000 0.5000